Below is a relaxed structure of Ag6PtAu12, with properties calculated at the GGA-PBE level.

Values from the calculation:
DOS at the Fermi energy in states/eV/cell: 15.747
Total DFT energy (no corrections) in eV per atom: -3.264
E_form in meV/atom: 24.3
Relative energy among the computed polymorphs in kJ/mol of formula units: 82

Cell lengths 10.0752, 10.0752, 11.9762 Å; angles 90.00, 90.00, 120.00 degrees
Closest atoms and distances in Å follow each position.
Space group R-3 (No. 148, hexagonal axes)
Symmetry-distinct sites (fractional):
Ag 0.0267 0.4344 0.2051  9 Au 2.82-3.09, 1 Pt 2.83, 2 Ag 2.94
Pt 0.0000 0.0000 0.5000  6 Au 2.82, 6 Ag 2.83
Au 0.0362 0.1828 0.3115  4 Au 2.81-2.93, 1 Pt 2.82, 5 Ag 2.88-3.09
Au 0.0634 0.8528 0.9112  4 Au 2.81-2.96, 4 Ag 2.82-2.93